(1)
A plane-wave DFT calculation with PBE-GGA was carried out for a relaxed CsMn2ZnBr8 crystal.

Structure (CIF):
```
data_CsMn2ZnBr8
_cell_length_a 6.8734
_cell_length_b 6.8734
_cell_length_c 9.8936
_cell_angle_alpha 90.00
_cell_angle_beta 90.00
_cell_angle_gamma 120.00
_space_group_name_H-M_alt 'P -3'
_space_group_IT_number 147
loop_
_space_group_symop_operation_xyz
'x,y,z'
'-x,-y,-z'
'-y,x-y,z'
'y,-x+y,-z'
'-x+y,-x,z'
'x-y,x,-z'
loop_
_atom_site_label
_atom_site_fract_x
_atom_site_fract_y
_atom_site_fract_z
Cs1 0.0000 0.0000 0.0000
Mn1 0.3333 0.6667 0.7214
Zn1 0.0000 0.0000 0.5000
Br1 0.0031 0.6894 0.3416
Br2 0.3333 0.6667 0.9637
```

Results
Energy, eV per atom: -3.69
E_form (uncorrected), eV per formula unit: -10.5

---

(2)
A plane-wave DFT calculation with PBE-GGA was carried out for a relaxed Cs2MnZnBr6 crystal.

Structure (CIF):
```
data_Cs2MnZnBr6
_cell_length_a 7.7726
_cell_length_b 7.7726
_cell_length_c 10.8103
_cell_angle_alpha 90.00
_cell_angle_beta 90.00
_cell_angle_gamma 90.00
_space_group_name_H-M_alt 'I 4/m m m'
_space_group_IT_number 139
_space_group_name_Hall '-I 4 2'
loop_
_atom_site_label
_atom_site_fract_x
_atom_site_fract_y
_atom_site_fract_z
Cs1 0.0000 0.5000 0.2500
Mn1 0.0000 0.0000 0.0000
Zn1 0.0000 0.0000 0.5000
Br1 0.0000 0.0000 0.2740
Br2 0.2386 0.2386 0.0000
```

Results
Energy, eV per atom: -3.40
E_form (uncorrected), eV per formula unit: -11.8

---

(3)
A plane-wave DFT calculation with PBE-GGA was carried out for a relaxed Cs2MoBr5 crystal.

Structure (CIF):
```
data_Cs2MoBr5
_cell_length_a 8.1383
_cell_length_b 8.1383
_cell_length_c 10.2014
_cell_angle_alpha 90.00
_cell_angle_beta 90.00
_cell_angle_gamma 90.00
_space_group_name_H-M_alt 'I 4 m m'
_space_group_IT_number 107
_space_group_name_Hall 'I 4 -2'
loop_
_atom_site_label
_atom_site_fract_x
_atom_site_fract_y
_atom_site_fract_z
Cs1 0.0000 0.5000 0.0000
Mo1 0.0000 0.0000 0.2188
Br1 0.0000 0.0000 0.9764
Br2 0.2233 0.2233 0.2517
```

Results
Energy, eV per atom: -3.75
E_form (uncorrected), eV per formula unit: -9.1
Relative energy among the computed polymorphs, eV per atom: 0.030

---

(4)
A plane-wave DFT calculation with PBE-GGA was carried out for a relaxed Cs2MoBr2 crystal.

Structure (CIF):
```
data_Cs2MoBr2
_cell_length_a 7.3420
_cell_length_b 7.3420
_cell_length_c 9.9755
_cell_angle_alpha 90.00
_cell_angle_beta 90.00
_cell_angle_gamma 90.00
_space_group_name_H-M_alt 'I 4/m m m'
_space_group_IT_number 139
_space_group_name_Hall '-I 4 2'
loop_
_atom_site_label
_atom_site_fract_x
_atom_site_fract_y
_atom_site_fract_z
Cs1 0.0000 0.5000 0.2500
Mo1 0.0000 0.0000 0.0000
Br1 0.0000 0.0000 0.2579
```

Results
Energy, eV per atom: -3.50
E_form (uncorrected), eV per formula unit: -1.6

---

(5)
A plane-wave DFT calculation with PBE-GGA was carried out for a relaxed CsMoBr6 crystal.

Structure (CIF):
```
data_CsMoBr6
_cell_length_a 8.7001
_cell_length_b 10.4300
_cell_length_c 6.8386
_cell_angle_alpha 90.00
_cell_angle_beta 106.48
_cell_angle_gamma 90.00
_space_group_name_H-M_alt 'C 1 2/m 1'
_space_group_IT_number 12
loop_
_space_group_symop_operation_xyz
'x,y,z'
'-x,-y,-z'
'-x,y,-z'
'x,-y,z'
'x+1/2,y+1/2,z'
'-x+1/2,-y+1/2,-z'
'-x+1/2,y+1/2,-z'
'x+1/2,-y+1/2,z'
loop_
_atom_site_label
_atom_site_fract_x
_atom_site_fract_y
_atom_site_fract_z
Cs1 0.0000 0.0000 0.0000
Mo1 0.0000 0.5000 0.5000
Br1 0.0968 0.3294 0.7668
Br2 0.2312 0.0000 0.5697
```

Results
Energy, eV per atom: -3.52
E_form (uncorrected), eV per formula unit: -6.4
Relative energy among the computed polymorphs, eV per atom: 0.013

---

(6)
A plane-wave DFT calculation with PBE-GGA was carried out for a relaxed CsMoBr6 crystal.

Structure (CIF):
```
data_CsMoBr6
_cell_length_a 12.8171
_cell_length_b 6.8890
_cell_length_c 13.3112
_cell_angle_alpha 90.00
_cell_angle_beta 102.27
_cell_angle_gamma 90.00
_space_group_name_H-M_alt 'C 1 2/c 1'
_space_group_IT_number 15
loop_
_space_group_symop_operation_xyz
'x,y,z'
'-x,-y,-z'
'-x,y,-z+1/2'
'x,-y,z+1/2'
'x+1/2,y+1/2,z'
'-x+1/2,-y+1/2,-z'
'-x+1/2,y+1/2,-z+1/2'
'x+1/2,-y+1/2,z+1/2'
loop_
_atom_site_label
_atom_site_fract_x
_atom_site_fract_y
_atom_site_fract_z
Cs1 0.0000 0.1044 0.2500
Mo1 0.2500 0.2500 0.0000
Br1 0.0765 0.3830 0.8982
Br2 0.1550 0.0520 0.5376
Br3 0.2137 0.4092 0.1599
```

Results
Energy, eV per atom: -3.53
E_form (uncorrected), eV per formula unit: -6.5
Relative energy among the computed polymorphs, eV per atom: 0.000

---

(7)
A plane-wave DFT calculation with PBE-GGA was carried out for a relaxed Cs2MoBr crystal.

Structure (CIF):
```
data_Cs2MoBr
_cell_length_a 9.2390
_cell_length_b 9.2390
_cell_length_c 9.2390
_cell_angle_alpha 90.00
_cell_angle_beta 90.00
_cell_angle_gamma 90.00
_space_group_name_H-M_alt 'F m -3 m'
_space_group_IT_number 225
_space_group_name_Hall '-F 4 2 3'
loop_
_atom_site_label
_atom_site_fract_x
_atom_site_fract_y
_atom_site_fract_z
Cs1 0.2500 0.2500 0.2500
Mo1 0.0000 0.0000 0.0000
Br1 0.0000 0.0000 0.5000
```

Results
Energy, eV per atom: -3.11
E_form (uncorrected), eV per formula unit: 1.8

---

(8)
A plane-wave DFT calculation with PBE-GGA was carried out for a relaxed Cs2MoBr5 crystal.

Structure (CIF):
```
data_Cs2MoBr5
_cell_length_a 9.8802
_cell_length_b 7.6562
_cell_length_c 15.9794
_cell_angle_alpha 90.00
_cell_angle_beta 90.00
_cell_angle_gamma 90.00
_space_group_name_H-M_alt 'P n m a'
_space_group_IT_number 62
loop_
_space_group_symop_operation_xyz
'x,y,z'
'-x,-y,-z'
'-x+1/2,-y,z+1/2'
'x+1/2,y,-z+1/2'
'x+1/2,-y+1/2,-z+1/2'
'-x+1/2,y+1/2,z+1/2'
'-x,y+1/2,-z'
'x,-y+1/2,z'
loop_
_atom_site_label
_atom_site_fract_x
_atom_site_fract_y
_atom_site_fract_z
Cs1 0.0280 0.2500 0.2036
Cs2 0.1691 0.7500 0.4187
Mo1 0.1722 0.7500 0.0616
Br1 0.0000 0.0000 0.0000
Br2 0.0296 0.7500 0.1973
Br3 0.1730 0.0088 0.6168
Br4 0.2037 0.2500 0.4152
```

Results
Energy, eV per atom: -3.78
E_form (uncorrected), eV per formula unit: -9.3
Relative energy among the computed polymorphs, eV per atom: 0.000

---

(9)
A plane-wave DFT calculation with PBE-GGA was carried out for a relaxed Cs2MoBr crystal.

Structure (CIF):
```
data_Cs2MoBr
_cell_length_a 9.8619
_cell_length_b 9.8619
_cell_length_c 10.8292
_cell_angle_alpha 90.00
_cell_angle_beta 90.00
_cell_angle_gamma 90.00
_space_group_name_H-M_alt 'I -4 2 d'
_space_group_IT_number 122
_space_group_name_Hall 'I -4 2bw'
loop_
_atom_site_label
_atom_site_fract_x
_atom_site_fract_y
_atom_site_fract_z
Cs1 0.2089 0.2500 0.1250
Mo1 0.0000 0.0000 0.5000
Br1 0.0000 0.0000 0.0000
```

Results
Energy, eV per atom: -3.11
E_form (uncorrected), eV per formula unit: 1.8

---

(10)
A plane-wave DFT calculation with PBE-GGA was carried out for a relaxed CsMoBr2 crystal.

Structure (CIF):
```
data_CsMoBr2
_cell_length_a 8.0893
_cell_length_b 8.0893
_cell_length_c 8.0893
_cell_angle_alpha 90.00
_cell_angle_beta 90.00
_cell_angle_gamma 90.00
_space_group_name_H-M_alt 'F m -3 m'
_space_group_IT_number 225
_space_group_name_Hall '-F 4 2 3'
loop_
_atom_site_label
_atom_site_fract_x
_atom_site_fract_y
_atom_site_fract_z
Cs1 0.0000 0.0000 0.0000
Mo1 0.0000 0.0000 0.5000
Br1 0.2500 0.2500 0.2500
```

Results
Energy, eV per atom: -3.69
E_form (uncorrected), eV per formula unit: 0.3
Relative energy among the computed polymorphs, eV per atom: 0.225

---

(11)
A plane-wave DFT calculation with PBE-GGA was carried out for a relaxed Cs3MoBr7 crystal.

Structure (CIF):
```
data_Cs3MoBr7
_cell_length_a 10.0437
_cell_length_b 10.5260
_cell_length_c 9.3397
_cell_angle_alpha 90.00
_cell_angle_beta 107.13
_cell_angle_gamma 90.00
_space_group_name_H-M_alt 'C 1 m 1'
_space_group_IT_number 8
loop_
_space_group_symop_operation_xyz
'x,y,z'
'x,-y,z'
'x+1/2,y+1/2,z'
'x+1/2,-y+1/2,z'
loop_
_atom_site_label
_atom_site_fract_x
_atom_site_fract_y
_atom_site_fract_z
Cs1 0.0000 0.0000 0.0000
Cs2 0.0888 0.2691 0.5458
Mo1 0.4885 0.0000 0.0567
Br1 0.1047 0.5000 0.8444
Br2 0.1563 0.3276 0.1905
Br3 0.3173 0.1699 0.9157
Br4 0.3697 0.0000 0.2722
Br5 0.3861 0.5000 0.5982
```

Results
Energy, eV per atom: -3.49
E_form (uncorrected), eV per formula unit: -13.2

---

(12)
A plane-wave DFT calculation with PBE-GGA was carried out for a relaxed Cs5Mo2Br12 crystal.

Structure (CIF):
```
data_Cs5Mo2Br12
_cell_length_a 19.8067
_cell_length_b 7.9297
_cell_length_c 11.8512
_cell_angle_alpha 90.00
_cell_angle_beta 106.18
_cell_angle_gamma 90.00
_space_group_name_H-M_alt 'C 1 2/m 1'
_space_group_IT_number 12
loop_
_space_group_symop_operation_xyz
'x,y,z'
'-x,-y,-z'
'-x,y,-z'
'x,-y,z'
'x+1/2,y+1/2,z'
'-x+1/2,-y+1/2,-z'
'-x+1/2,y+1/2,-z'
'x+1/2,-y+1/2,z'
loop_
_atom_site_label
_atom_site_fract_x
_atom_site_fract_y
_atom_site_fract_z
Cs1 0.0000 0.0000 0.0000
Cs2 0.1916 0.5000 0.8688
Cs3 0.1971 0.5000 0.3420
Mo1 0.0000 0.2491 0.5000
Br1 0.0028 0.5000 0.3520
Br2 0.0035 0.0000 0.3537
Br3 0.1343 0.2522 0.5704
Br4 0.1534 0.2486 0.0931
```

Results
Energy, eV per atom: -3.54
E_form (uncorrected), eV per formula unit: -21.2

---

(13)
A plane-wave DFT calculation with PBE-GGA was carried out for a relaxed Cs2MoBr4 crystal.

Structure (CIF):
```
data_Cs2MoBr4
_cell_length_a 5.1837
_cell_length_b 5.1837
_cell_length_c 27.9218
_cell_angle_alpha 90.00
_cell_angle_beta 90.00
_cell_angle_gamma 90.00
_space_group_name_H-M_alt 'I 4/m m m'
_space_group_IT_number 139
_space_group_name_Hall '-I 4 2'
loop_
_atom_site_label
_atom_site_fract_x
_atom_site_fract_y
_atom_site_fract_z
Cs1 0.0000 0.0000 0.1854
Mo1 0.0000 0.0000 0.0000
Br1 0.0000 0.0000 0.3150
Br2 0.0000 0.5000 0.0000
```

Results
Energy, eV per atom: -3.58
E_form (uncorrected), eV per formula unit: -5.9

---

(14)
A plane-wave DFT calculation with PBE-GGA was carried out for a relaxed Cs3MoBr8 crystal.

Structure (CIF):
```
data_Cs3MoBr8
_cell_length_a 8.0302
_cell_length_b 8.0302
_cell_length_c 15.5833
_cell_angle_alpha 90.00
_cell_angle_beta 90.00
_cell_angle_gamma 90.00
_space_group_name_H-M_alt 'I 4/m m m'
_space_group_IT_number 139
_space_group_name_Hall '-I 4 2'
loop_
_atom_site_label
_atom_site_fract_x
_atom_site_fract_y
_atom_site_fract_z
Cs1 0.0000 0.0000 0.0000
Cs2 0.0000 0.5000 0.2500
Mo1 0.0000 0.0000 0.5000
Br1 0.2006 0.2006 0.3968
```

Results
Energy, eV per atom: -3.12
E_form (uncorrected), eV per formula unit: -10.7
Relative energy among the computed polymorphs, eV per atom: 0.219

---

(15)
A plane-wave DFT calculation with PBE-GGA was carried out for a relaxed CsMoBr2 crystal.

Structure (CIF):
```
data_CsMoBr2
_cell_length_a 6.8397
_cell_length_b 6.8397
_cell_length_c 15.7660
_cell_angle_alpha 90.00
_cell_angle_beta 90.00
_cell_angle_gamma 90.00
_space_group_name_H-M_alt 'I -4 2 d'
_space_group_IT_number 122
_space_group_name_Hall 'I -4 2bw'
loop_
_atom_site_label
_atom_site_fract_x
_atom_site_fract_y
_atom_site_fract_z
Cs1 0.0000 0.0000 0.0000
Mo1 0.0000 0.0000 0.5000
Br1 0.1474 0.2500 0.6250
```

Results
Energy, eV per atom: -3.91
E_form (uncorrected), eV per formula unit: -0.6
Relative energy among the computed polymorphs, eV per atom: 0.000

---

(16)
A plane-wave DFT calculation with PBE-GGA was carried out for a relaxed CsMoBr4 crystal.

Structure (CIF):
```
data_CsMoBr4
_cell_length_a 18.8133
_cell_length_b 7.8559
_cell_length_c 6.7783
_cell_angle_alpha 90.00
_cell_angle_beta 109.90
_cell_angle_gamma 90.00
_space_group_name_H-M_alt 'C 1 2/m 1'
_space_group_IT_number 12
loop_
_space_group_symop_operation_xyz
'x,y,z'
'-x,-y,-z'
'-x,y,-z'
'x,-y,z'
'x+1/2,y+1/2,z'
'-x+1/2,-y+1/2,-z'
'-x+1/2,y+1/2,-z'
'x+1/2,-y+1/2,z'
loop_
_atom_site_label
_atom_site_fract_x
_atom_site_fract_y
_atom_site_fract_z
Cs1 0.1912 0.0000 0.1742
Mo1 0.0761 0.5000 0.8604
Br1 0.0000 0.2741 0.0000
Br2 0.1185 0.2666 0.6687
Br3 0.1888 0.5000 0.1871
```

Results
Energy, eV per atom: -3.92
E_form (uncorrected), eV per formula unit: -5.2

---

(17)
A plane-wave DFT calculation with PBE-GGA was carried out for a relaxed Cs3MoBr8 crystal.

Structure (CIF):
```
data_Cs3MoBr8
_cell_length_a 10.7890
_cell_length_b 10.7890
_cell_length_c 9.7124
_cell_angle_alpha 90.00
_cell_angle_beta 90.00
_cell_angle_gamma 120.00
_space_group_name_H-M_alt 'P 63 m c'
_space_group_IT_number 186
_space_group_name_Hall 'P 6c -2c'
loop_
_atom_site_label
_atom_site_fract_x
_atom_site_fract_y
_atom_site_fract_z
Cs1 0.1532 0.3064 0.0000
Mo1 0.3333 0.6667 0.4385
Br1 0.0000 0.0000 0.2543
Br2 0.1126 0.5563 0.2897
Br3 0.2238 0.4476 0.5922
Br4 0.3333 0.6667 0.9253
```

Results
Energy, eV per atom: -3.34
E_form (uncorrected), eV per formula unit: -13.3
Relative energy among the computed polymorphs, eV per atom: 0.000

---

(18)
A plane-wave DFT calculation with PBE-GGA was carried out for a relaxed CsNaMoBr6 crystal.

Structure (CIF):
```
data_CsNaMoBr6
_cell_length_a 7.3656
_cell_length_b 7.3656
_cell_length_c 7.8757
_cell_angle_alpha 90.00
_cell_angle_beta 90.00
_cell_angle_gamma 120.00
_space_group_name_H-M_alt 'P 3 1 2'
_space_group_IT_number 149
loop_
_space_group_symop_operation_xyz
'x,y,z'
'-y,x-y,z'
'-x+y,-x,z'
'-y,-x,-z'
'-x+y,y,-z'
'x,x-y,-z'
loop_
_atom_site_label
_atom_site_fract_x
_atom_site_fract_y
_atom_site_fract_z
Cs1 0.0000 0.0000 0.0000
Na1 0.3333 0.6667 0.5000
Mo1 0.6667 0.3333 0.5000
Br1 0.3910 0.0433 0.6896
```

Results
Energy, eV per atom: -3.58
E_form (uncorrected), eV per formula unit: -9.2

---

(19)
A plane-wave DFT calculation with PBE-GGA was carried out for a relaxed Cs2NbMoBr6 crystal.

Structure (CIF):
```
data_Cs2NbMoBr6
_cell_length_a 7.8352
_cell_length_b 7.8352
_cell_length_c 11.0202
_cell_angle_alpha 90.00
_cell_angle_beta 90.00
_cell_angle_gamma 90.00
_space_group_name_H-M_alt 'I 4/m m m'
_space_group_IT_number 139
_space_group_name_Hall '-I 4 2'
loop_
_atom_site_label
_atom_site_fract_x
_atom_site_fract_y
_atom_site_fract_z
Cs1 0.0000 0.5000 0.2500
Nb1 0.0000 0.0000 0.0000
Mo1 0.0000 0.0000 0.5000
Br1 0.0000 0.0000 0.2497
Br2 0.2479 0.2479 0.0000
```

Results
Energy, eV per atom: -4.07
E_form (uncorrected), eV per formula unit: -8.0